Record 1
DFT (PBE) results for crystalline ScSiPd3 at its relaxed geometry.

Structure (POSCAR):
```
ScSiPd3
1.0
-0.2609 -2.6782 -4.2925
4.1264 -2.5998 1.3713
-6.4323 -2.6259 5.0191
Sc Pd Si
2 6 2
direct
0.9010 0.4010 0.8020
0.5990 0.0990 0.1980
0.1297 0.8774 0.7548
0.6252 0.8774 0.7548
0.1226 0.3748 0.2452
0.1226 0.8703 0.2452
0.2949 0.2949 0.5898
0.7051 0.7051 0.4102
0.0000 0.0000 0.0000
0.2500 0.7500 0.5000
```

uncorrected formation energy	-402	meV per atom

***

Record 2
DFT (PBE) results for crystalline Zn2NiPb at its relaxed geometry.

Structure (POSCAR):
```
Zn2NiPb
1.0
5.6502 0.0475 0.0126
2.7221 4.9515 -0.0126
-3.5529 -3.5601 2.5749
Pb Ni Zn
1 1 2
direct
0.2500 0.7500 0.5000
0.7500 0.2500 0.5000
0.5413 0.5413 0.0000
0.9587 0.9587 0.0000
```

ΔE_f	0.16	eV per atom

***

Record 3
DFT (PBE) results for crystalline Ca3TmTh2As6 at its relaxed geometry.

Structure (POSCAR):
```
Ca3TmTh2As6
1.0
7.3576 -0.0023 -0.0001
-3.6790 6.3718 -0.0001
-1.2276 -2.1255 6.9021
As Tm Th Ca
6 1 2 3
direct
0.4080 0.0796 0.2395
0.9204 0.5920 0.7605
0.2482 0.2482 0.7595
0.5920 0.9204 0.7605
0.0796 0.4080 0.2395
0.7518 0.7518 0.2405
0.0000 0.0000 0.0000
0.6664 0.3336 0.0000
0.3336 0.6664 0.0000
0.8324 0.1676 0.5000
0.1676 0.8324 0.5000
0.5000 0.5000 0.5000
```

ΔE_f	-1.29	eV per atom

***

Record 4
DFT (PBE) results for crystalline EuPaPtRh at its relaxed geometry.

Structure (POSCAR):
```
EuPaPtRh
1.0
4.9618 0.0000 0.0000
2.4809 4.2971 0.0000
2.4809 1.4324 4.0513
Pa Eu Pt Rh
1 1 1 1
direct
0.5000 0.5000 0.5000
0.0000 0.0000 0.0000
0.2500 0.2500 0.2500
0.7500 0.7500 0.7500
```

ΔE_f	-0.62	eV per atom

***

Record 5
DFT (PBE) results for crystalline TiBe3Rh4 at its relaxed geometry.

Structure (POSCAR):
```
TiBe3Rh4
1.0
4.0476 0.0000 0.0000
0.0000 5.8020 0.0000
0.0000 0.0000 8.0919
Rh Ti Be
8 2 6
direct
0.0000 0.2357 0.7500
0.5000 0.7643 0.0000
0.0000 0.2357 0.2500
0.5000 0.2357 0.5000
0.5000 0.7643 0.5000
0.5000 0.2357 0.0000
0.0000 0.7643 0.2500
0.0000 0.7643 0.7500
0.0000 0.5000 0.5000
0.0000 0.5000 0.0000
0.4998 0.5000 0.2500
0.5002 0.5000 0.7500
0.0000 0.0000 0.0000
0.5000 0.0000 0.2500
0.5000 0.0000 0.7500
0.0000 0.0000 0.5000
```

ΔE_f	-0.74	eV per atom

***

Record 6
DFT (PBE) results for crystalline InNi3Sn3 at its relaxed geometry.

Structure (POSCAR):
```
InNi3Sn3
1.0
6.4596 0.1872 2.1110
1.5870 6.2644 2.1110
0.2335 0.1872 6.7918
Sn Ni In
6 6 2
direct
0.3801 0.1245 0.8234
0.1766 0.6199 0.8755
0.8755 0.1766 0.6199
0.8234 0.3801 0.1245
0.1245 0.8234 0.3801
0.6199 0.8755 0.1766
0.0479 0.4152 0.6998
0.3002 0.9521 0.5848
0.4152 0.6998 0.0479
0.6998 0.0479 0.4152
0.9521 0.5848 0.3002
0.5848 0.3002 0.9521
0.3320 0.3320 0.3320
0.6680 0.6680 0.6680
```

ΔE_f	-0.12	eV per atom

***

Record 7
DFT (PBE) results for crystalline Tb6Pm12Ho at its relaxed geometry.

Structure (POSCAR):
```
Tb6Pm12Ho
1.0
8.5871 0.6934 0.8306
-0.6165 8.5929 0.8306
-0.6165 -0.7182 8.6031
Pm Tb Ho
12 6 1
direct
0.1956 0.3607 0.0168
0.6393 0.9832 0.8044
0.3607 0.0168 0.1956
0.9832 0.8044 0.6393
0.8044 0.6393 0.9832
0.0168 0.1956 0.3607
0.5375 0.4336 0.7795
0.4336 0.7795 0.5375
0.7795 0.5375 0.4336
0.2205 0.4625 0.5664
0.5664 0.2205 0.4625
0.4625 0.5664 0.2205
0.0971 0.7002 0.2601
0.2601 0.0971 0.7002
0.7399 0.9029 0.2998
0.7002 0.2601 0.0971
0.2998 0.7399 0.9029
0.9029 0.2998 0.7399
0.0000 0.0000 0.0000
```

ΔE_f	0.14	eV per atom

***

Record 8
DFT (PBE) results for crystalline Ac2Pr7Sm2 at its relaxed geometry.

Structure (POSCAR):
```
Ac2Pr7Sm2
1.0
6.8116 -1.0526 0.4694
-0.9359 9.4909 0.8322
-0.3304 1.0526 6.8197
Pr Sm Ac
7 2 2
direct
0.3318 0.2695 0.0640
0.6682 0.7305 0.9360
0.0000 0.0000 0.0000
0.1699 0.6337 0.8301
0.8301 0.3663 0.1699
0.9360 0.2695 0.6682
0.0640 0.7305 0.3318
0.3419 0.5000 0.3419
0.6581 0.5000 0.6581
0.6285 0.9038 0.3715
0.3715 0.0962 0.6285
```

ΔE_f	0.30	eV per atom

***

Record 9
DFT (PBE) results for crystalline Zr4SnPd at its relaxed geometry.

Structure (POSCAR):
```
Zr4SnPd
1.0
-1.5695 1.8059 5.0667
4.8438 -3.8752 2.8816
4.4329 5.1871 -0.4757
Zr Pd Sn
8 2 2
direct
0.0000 0.3554 0.1632
0.5000 0.8368 0.6446
0.5000 0.1632 0.3554
0.5000 0.3554 0.8368
0.5000 0.6446 0.1632
0.0000 0.8368 0.3554
0.0000 0.6446 0.8368
0.0000 0.1632 0.6446
0.7500 0.5000 0.5000
0.2500 0.5000 0.5000
0.7500 0.0000 0.0000
0.2500 0.0000 0.0000
```

ΔE_f	-0.41	eV per atom

***

Record 10
DFT (PBE) results for crystalline YMo5 at its relaxed geometry.

Structure (POSCAR):
```
YMo5
1.0
-3.9365 -3.4103 2.5029
0.5037 -5.4411 1.8793
-0.1867 -2.0648 5.3938
Mo Y
5 1
direct
0.3129 0.0000 0.6871
0.1735 0.1735 0.1735
0.0000 0.6871 0.3129
0.6871 0.3129 0.0000
0.8265 0.8265 0.8265
0.5000 0.5000 0.5000
```

ΔE_f	0.63	eV per atom

***

Record 11
DFT (PBE) results for crystalline Li2ZrTi2Se6 at its relaxed geometry.

Structure (POSCAR):
```
Li2ZrTi2Se6
1.0
-1.3333 6.0977 -1.1924
-3.9054 -4.5790 -2.0403
-1.6617 -0.1318 6.7005
Li Se Zr Ti
2 6 1 2
direct
0.1609 0.8391 0.0000
0.8391 0.1609 0.0000
0.7310 0.7310 0.7406
0.4235 0.0787 0.7399
0.5765 0.9213 0.2601
0.2690 0.2690 0.2594
0.9213 0.5765 0.2601
0.0787 0.4235 0.7399
0.0000 0.0000 0.5000
0.6667 0.3333 0.5000
0.3333 0.6667 0.5000
```

uncorrected formation energy	-1245	meV per atom

***

Record 12
DFT (PBE) results for crystalline Pm3Sm5Ho4 at its relaxed geometry.

Structure (POSCAR):
```
Pm3Sm5Ho4
1.0
-3.7599 5.6002 -2.5009
0.5199 -10.6659 -3.9368
-5.3065 9.0766 7.6012
Ho Sm Pm
4 5 3
direct
0.8352 0.6689 0.8340
0.1648 0.3311 0.1660
0.0828 0.1674 0.3327
0.9172 0.8326 0.6673
0.7485 0.5015 0.0012
0.6651 0.3322 0.1667
0.5000 0.0000 0.5000
0.2515 0.4985 0.9988
0.3349 0.6678 0.8333
0.0000 0.0000 0.5000
0.5865 0.1688 0.3340
0.4135 0.8312 0.6660
```

ΔE_f	0.01	eV per atom

***

Record 13
DFT (PBE) results for crystalline Ho6Sn2SbSe3 at its relaxed geometry.

Structure (POSCAR):
```
Ho6Sn2SbSe3
1.0
4.2358 0.0000 0.0000
0.0000 8.4571 0.3274
-2.1179 -2.4151 8.8910
Ho Se Sb Sn
6 3 1 2
direct
0.3312 0.9176 0.6623
0.6651 0.5868 0.3301
0.6688 0.0824 0.3377
0.0003 0.2558 0.0006
0.3349 0.4132 0.6699
0.9997 0.7442 0.9994
0.5000 0.5000 0.0000
0.8347 0.1660 0.6695
0.1653 0.8340 0.3305
0.5000 0.0000 0.0000
0.8329 0.6662 0.6659
0.1671 0.3338 0.3341
```

uncorrected formation energy	-1281	meV per atom

***

Record 14
DFT (PBE) results for crystalline Th2ZrScP4 at its relaxed geometry.

Structure (POSCAR):
```
Th2ZrScP4
1.0
3.9556 0.0000 0.0000
0.0000 6.7966 -0.1167
0.0000 2.4087 6.4399
Th P Sc Zr
2 4 1 1
direct
0.5000 0.0000 0.5000
0.0000 0.0000 0.0000
0.0000 0.2747 0.2412
0.5000 0.7257 0.2574
0.0000 0.7253 0.7588
0.5000 0.2743 0.7426
0.5000 0.5000 0.0000
0.0000 0.5000 0.5000
```

ΔE_f	-1.47	eV per atom

***

Record 15
DFT (PBE) results for crystalline NaZn7Ga12 at its relaxed geometry.

Structure (POSCAR):
```
NaZn7Ga12
1.0
8.3080 0.0000 0.0000
-2.7693 7.8329 0.0000
-2.7693 -3.9164 6.7835
Zn Ga Na
7 12 1
direct
0.0000 0.5000 0.0000
0.5000 0.5000 0.5000
0.0000 0.5000 0.5000
0.0000 0.0000 0.5000
0.5000 0.0000 0.5000
0.5000 0.5000 0.0000
0.5000 0.0000 0.0000
0.3568 0.7427 0.0995
0.6141 0.3568 0.2573
0.2573 0.9005 0.6432
0.3568 0.2573 0.6141
0.6432 0.2573 0.9005
0.7427 0.0995 0.3568
0.7427 0.3859 0.6432
0.2573 0.6141 0.3568
0.3859 0.6432 0.7427
0.9005 0.6432 0.2573
0.6432 0.7427 0.3859
0.0995 0.3568 0.7427
0.0000 0.0000 0.0000
```

ΔE_f	0.10	eV per atom

***

Record 16
DFT (PBE) results for crystalline Pm12MgSi7 at its relaxed geometry.

Structure (POSCAR):
```
Pm12MgSi7
1.0
-3.8529 -7.4160 -3.4309
5.2468 -2.2690 6.9954
-6.4039 5.7472 2.7519
Si Pm Mg
7 12 1
direct
0.0265 0.9332 0.2675
0.0668 0.7325 0.9735
0.9735 0.0668 0.7325
0.2675 0.0265 0.9332
0.9332 0.2675 0.0265
0.7325 0.9735 0.0668
0.5000 0.5000 0.5000
0.6001 0.9043 0.6841
0.3413 0.7260 0.8666
0.1334 0.6587 0.2740
0.0957 0.3159 0.3999
0.9043 0.6841 0.6001
0.3999 0.0957 0.3159
0.2740 0.1334 0.6587
0.6587 0.2740 0.1334
0.3159 0.3999 0.0957
0.8666 0.3413 0.7260
0.7260 0.8666 0.3413
0.6841 0.6001 0.9043
0.0000 0.0000 0.0000
```

uncorrected formation energy	-353	meV per atom

***

Record 17
DFT (PBE) results for crystalline Sc2TeHBr at its relaxed geometry.

Structure (POSCAR):
```
Sc2TeHBr
1.0
5.1713 0.0000 0.0000
0.0000 3.7988 0.0000
0.0000 0.0000 5.1713
Sc H Br Te
2 1 1 1
direct
0.0000 0.0000 0.5000
0.5000 0.0000 0.0000
0.0000 0.5000 0.0000
0.0000 0.0000 0.0000
0.5000 0.5000 0.5000
```

energy	-4.320	eV/atom

***

Record 18
DFT (PBE) results for crystalline La2Hg2W at its relaxed geometry.

Structure (POSCAR):
```
La2Hg2W
1.0
8.5925 0.0000 0.0000
0.0000 8.5925 0.0000
0.0000 0.0000 3.6273
Hg La W
4 4 2
direct
0.8784 0.6216 0.0000
0.3784 0.8784 0.0000
0.6216 0.1216 0.0000
0.1216 0.3784 0.0000
0.1809 0.6809 0.5000
0.3191 0.1809 0.5000
0.8191 0.3191 0.5000
0.6809 0.8191 0.5000
0.5000 0.5000 0.0000
0.0000 0.0000 0.0000
```

ΔE_f	0.46	eV per atom

***

Record 19
DFT (PBE) results for crystalline LiDyRh4 at its relaxed geometry.

Structure (POSCAR):
```
LiDyRh4
1.0
-0.8593 4.6677 2.2015
-3.7020 3.1575 -1.9228
-4.3905 0.8419 2.7179
Rh Li Dy
4 1 1
direct
0.1240 0.6253 0.6253
0.6253 0.1240 0.6253
0.6253 0.6253 0.1240
0.6253 0.6253 0.6253
0.0000 0.0000 0.0000
0.2500 0.2500 0.2500
```

ΔE_f	-0.44	eV per atom

***

Record 20
DFT (PBE) results for crystalline ZrW at its relaxed geometry.

Structure (POSCAR):
```
ZrW
1.0
5.4699 0.0000 0.0000
0.0000 5.4699 0.0000
0.0000 0.0000 5.6290
W Zr
4 4
direct
0.3176 0.6824 0.5000
0.1824 0.1824 0.0000
0.6824 0.3176 0.5000
0.8176 0.8176 0.0000
0.7998 0.7998 0.5000
0.2002 0.2002 0.5000
0.7002 0.2998 0.0000
0.2998 0.7002 0.0000
```

ΔE_f	1.07	eV per atom